# Ba2ErW3O12, optimized geometry, DFT PBE with a Hubbard U
# - Calculated total energy: -7.42 eV per atom
# - D(E_F): 9.46 states/eV/cell
data_Ba2ErW3O12
_chemical_formula_sum 'Ba6 Er3 W9 O36'
_symmetry_space_group_name_H-M 'R -3 m'
_symmetry_Int_Tables_number 166
_symmetry_space_group_name_Hall '-R 3 2"'
_cell_length_a 7.5849
_cell_length_b 7.5849
_cell_length_c 18.5710
_cell_angle_alpha 90.00
_cell_angle_beta 90.00
_cell_angle_gamma 120.00
loop_
_atom_site_label
_atom_site_fract_x
_atom_site_fract_y
_atom_site_fract_z
Ba1 0.0000 0.0000 0.1806
Er1 0.0000 0.0000 0.5000
W1 0.0000 0.5000 0.0000
O1 0.0449 0.5224 0.1026
O2 0.0924 0.5462 0.3490